# Li2LaBe

A relaxed structure of Li2LaBe (GGA-PBE, Alexandria).

**E_tot**: -2.87 eV/atom

```
Li2LaBe
1.0
-0.691 3.441 2.944
-3.676 -0.044 2.733
0.996 -1.165 5.156
Be La Li
1 1 2
direct
0.459 0.459 0.622
0.246 0.246 0.263
0.037 0.037 0.887
0.757 0.757 0.729
```